Below is a relaxed structure of SrInGe2W, with properties calculated at the PBE-GGA level.

Cell and atoms, written as CIF:
```
data_SrInGe2W
_cell_length_a 5.609
_cell_length_b 5.609
_cell_length_c 5.737
_cell_angle_alpha 90.00
_cell_angle_beta 90.00
_cell_angle_gamma 90.00
_space_group_name_H-M_alt 'P 4/m m m'
_space_group_IT_number 123
_space_group_name_Hall '-P 4 2'
loop_
_atom_site_label
_atom_site_fract_x
_atom_site_fract_y
_atom_site_fract_z
Sr1 0.000 0.000 0.000
In1 0.500 0.500 0.500
Ge1 0.000 0.500 0.000
W1 0.000 0.000 0.500
```

Output
DFT total energy: -3.31 eV/atom
density of states at the Fermi level: 5.498 states/eV/f.u.
size of the total moment: 0.6848 μB per atom